This record from the Alexandria database describes a geometry-optimized Sc3TiN4 structure. The functional is PBE-GGA.

a b c (Å): 6.2909 8.8659 3.1362
angles (deg): 90.00 90.00 90.00
With the nearest neighbours (Å) after each atom.
Space group Cmmm (No. 65)
Asymmetric unit:
Sc  0.0000  0.0000  0.0000 x2  6 N 2.27
Sc  0.2500  0.2500  0.5000 x4  6 N 2.22
Ti  0.0000  0.5000  0.0000 x2  6 N 2.16-2.18
N  0.0000  0.2561  0.0000 x4  1 Ti 2.16, 5 Sc 2.22-2.27
N  0.2400  0.5000  0.5000 x4  2 Ti 2.18, 4 Sc 2.22-2.27

The formation energy from raw total energies is -1875 meV/atom. As for the final energy: -0.6908 Ry/atom.

---

This record from the Alexandria database describes a geometry-optimized ScTiN3 structure. The functional is PBE-GGA.

a b c (Å): 3.9543 3.9543 3.9543
angles (deg): 90.00 90.00 90.00
With the nearest neighbours (Å) after each atom.
Space group Pm-3m (No. 221)
Asymmetric unit:
Sc  0.0000  0.0000  0.0000 x1  6 N 1.98
Ti  0.5000  0.5000  0.5000 x1  12 N 2.80
N  0.0000  0.0000  0.5000 x3  2 Sc 1.98

The formation energy from raw total energies is 644 meV/atom. As for the final energy: -0.5289 Ry/atom.

---

This record from the Alexandria database describes a geometry-optimized Sc2TiN3 structure. The functional is PBE-GGA.

a b c (Å): 3.1323 3.1323 13.2132
angles (deg): 90.00 90.00 90.00
With the nearest neighbours (Å) after each atom.
Space group I4/mmm (No. 139)
Asymmetric unit:
Sc  0.0000  0.0000  0.1647 x4  6 N 2.18-2.30
Ti  0.0000  0.0000  0.5000 x2  6 N 2.13-2.21
N  0.0000  0.0000  0.0000 x2  2 Sc 2.18, 4 Ti 2.21
N  0.0000  0.0000  0.3388 x4  1 Ti 2.13, 5 Sc 2.22-2.30

The formation energy from raw total energies is -1840 meV/atom. As for the final energy: -0.6930 Ry/atom.

---

This record from the Alexandria database describes a geometry-optimized ScTi3N2 structure. The functional is PBE-GGA.

a b c (Å): 12.3738 4.1440 7.2030
angles (deg): 90.00 105.21 90.00
With the nearest neighbours (Å) after each atom.
Space group C2/m (No. 12)
Asymmetric unit:
Sc  0.1538  0.0000  0.4909 x4  1 N 2.22
Ti  0.0613  0.0000  0.8673 x4  4 N 2.06-2.12
Ti  0.1029  0.5000  0.1539 x4  4 N 2.04-2.14
Ti  0.2213  0.5000  0.8292 x4  2 N 2.01-2.09
N  0.0619  0.5000  0.8456 x4  5 Ti 2.01-2.14
N  0.1101  0.0000  0.1723 x4  5 Ti 2.06-2.12, 1 Sc 2.22

The formation energy from raw total energies is -1011 meV/atom. As for the final energy: -0.6460 Ry/atom.

---

no.,DOS at the Fermi energy (states/eV per cell)
1,2.30
2,4.63
3,2.56
4,22.94